Material: MgH2Cl
Method: DFT, PBE-GGA
State: relaxed

Values from the calculation:
* energy relative to the lowest polymorph listed for this composition: 531.4 meV/atom
* E: -8.75 eV/cell
* density: 2.255 Mg/m³
* Fermi-level density of states: 1.939 states/eV per cell

Unit cell a=4.0072 b=4.0072 c=4.0072 alpha=60.00 beta=60.00 gamma=60.00
Fractional positions:
Mg  0.0000  0.0000  0.0000
H  0.2500  0.2500  0.2500
H  0.7500  0.7500  0.7500
Cl  0.5000  0.5000  0.5000

=====

Material: MgHCl3
Method: DFT, PBE-GGA
State: relaxed

Values from the calculation:
* energy relative to the lowest polymorph listed for this composition: 0.0 meV/atom
* E: -12.60 eV/cell
* density: 1.796 Mg/m³
* Fermi-level density of states: 4.650 states/eV per cell

Unit cell a=4.9564 b=4.9564 c=4.9564 alpha=90.00 beta=90.00 gamma=90.00
Fractional positions:
Mg  0.0000  0.0000  0.0000
H  0.5000  0.5000  0.5000
Cl  0.0000  0.0000  0.5000
Cl  0.0000  0.5000  0.0000
Cl  0.5000  0.0000  0.0000